[1]
The following is a DFT calculation (PBE) of crystalline NaCu2GePb at its relaxed geometry.

Structure (CIF):
```
data_NaCu2GePb
_symmetry_space_group_name_H-M 'P 4/m m m'
_symmetry_Int_Tables_number 123
_symmetry_space_group_name_Hall '-P 4 2'
_cell_length_a 4.842
_cell_length_b 4.842
_cell_length_c 5.554
_cell_angle_alpha 90.00
_cell_angle_beta 90.00
_cell_angle_gamma 90.00
loop_
_atom_site_label
_atom_site_type_symbol
_atom_site_fract_x
_atom_site_fract_y
_atom_site_fract_z
Na1 Na 0.000 0.000 0.000
Cu1 Cu 0.000 0.500 0.000
Ge1 Ge 0.500 0.500 0.500
Pb1 Pb 0.000 0.000 0.500
```

ΔE_f in meV per atom: 1079.4

---

[2]
The following is a DFT calculation (PBE) of crystalline Y2ReRu at its relaxed geometry.

Structure (CIF):
```
data_Y2ReRu
_symmetry_space_group_name_H-M 'C 1 2/m 1'
_symmetry_Int_Tables_number 12
_symmetry_space_group_name_Hall '-C 2y'
_cell_length_a 8.848
_cell_length_b 3.187
_cell_length_c 5.915
_cell_angle_alpha 90.00
_cell_angle_beta 99.73
_cell_angle_gamma 90.00
loop_
_atom_site_label
_atom_site_type_symbol
_atom_site_fract_x
_atom_site_fract_y
_atom_site_fract_z
Y1 Y 0.247 0.000 0.246
Re1 Re 0.000 0.000 0.500
Ru1 Ru 0.000 0.500 0.000
```

ΔE_f in meV per atom: 418.9
Energy above the lowest structure with this stoichiometry in meV/atom: 460

---

[3]
The following is a DFT calculation (PBE) of crystalline Mn3CdS at its relaxed geometry.

Structure (CIF):
```
data_Mn3CdS
_symmetry_space_group_name_H-M 'P m -3 m'
_symmetry_Int_Tables_number 221
_symmetry_space_group_name_Hall '-P 4 2 3'
_cell_length_a 4.356
_cell_length_b 4.356
_cell_length_c 4.356
_cell_angle_alpha 90.00
_cell_angle_beta 90.00
_cell_angle_gamma 90.00
loop_
_atom_site_label
_atom_site_type_symbol
_atom_site_fract_x
_atom_site_fract_y
_atom_site_fract_z
Mn1 Mn 0.000 0.000 0.500
Cd1 Cd 0.500 0.500 0.500
S1 S 0.000 0.000 0.000
```

Formation energy without anion corrections in eV per atom: 0.140
Energy above the lowest structure with this stoichiometry in meV/atom: 0

---

[4]
The following is a DFT calculation (PBE) of crystalline NaAgB2H8 at its relaxed geometry.

Structure (CIF):
```
data_NaAgB2H8
_symmetry_space_group_name_H-M 'C 1 2/m 1'
_symmetry_Int_Tables_number 12
_symmetry_space_group_name_Hall '-C 2y'
_cell_length_a 7.834
_cell_length_b 4.590
_cell_length_c 6.729
_cell_angle_alpha 90.00
_cell_angle_beta 92.20
_cell_angle_gamma 90.00
loop_
_atom_site_label
_atom_site_type_symbol
_atom_site_fract_x
_atom_site_fract_y
_atom_site_fract_z
Na1 Na 0.000 0.000 0.000
Ag1 Ag 0.000 0.000 0.500
B1 B 0.161 0.500 0.772
H1 H 0.081 0.282 0.711
H2 H 0.171 0.500 0.953
H3 H 0.196 0.000 0.299
```

---

[5]
The following is a DFT calculation (PBE) of crystalline Sc2InSb at its relaxed geometry.

Structure (CIF):
```
data_Sc2InSb
_symmetry_space_group_name_H-M 'R -3 m'
_symmetry_Int_Tables_number 166
_symmetry_space_group_name_Hall '-R 3 2"'
_cell_length_a 3.9087
_cell_length_b 3.9087
_cell_length_c 23.3797
_cell_angle_alpha 90.00
_cell_angle_beta 90.00
_cell_angle_gamma 120.00
loop_
_atom_site_label
_atom_site_type_symbol
_atom_site_fract_x
_atom_site_fract_y
_atom_site_fract_z
Sc1 Sc 0.0000 0.0000 0.2426
In1 In 0.0000 0.0000 0.0000
Sb1 Sb 0.0000 0.0000 0.5000
```

Formation energy without anion corrections in eV per atom: -0.512
Energy above the lowest structure with this stoichiometry in meV/atom: 89

---

[6]
The following is a DFT calculation (PBE) of crystalline AcTb2PrSe6 at its relaxed geometry.

Structure (CIF):
```
data_AcTb2PrSe6
_symmetry_space_group_name_H-M 'R 3'
_symmetry_Int_Tables_number 146
_symmetry_space_group_name_Hall 'R 3'
_cell_length_a 7.4957
_cell_length_b 7.4957
_cell_length_c 19.6233
_cell_angle_alpha 90.00
_cell_angle_beta 90.00
_cell_angle_gamma 120.00
loop_
_atom_site_label
_atom_site_type_symbol
_atom_site_fract_x
_atom_site_fract_y
_atom_site_fract_z
Ac1 Ac 0.0000 0.0000 0.0000
Tb1 Tb 0.0000 0.0000 0.2074
Tb2 Tb 0.0000 0.0000 0.7106
Pr1 Pr 0.0000 0.0000 0.5068
Se1 Se 0.0426 0.3541 0.7805
Se2 Se 0.0630 0.7089 0.2804
```

Formation energy without anion corrections in eV per atom: -1.883

---

[7]
The following is a DFT calculation (PBE) of crystalline MnTc2SnN at its relaxed geometry.

Structure (CIF):
```
data_MnTc2SnN
_symmetry_space_group_name_H-M 'P 4/m m m'
_symmetry_Int_Tables_number 123
_symmetry_space_group_name_Hall '-P 4 2'
_cell_length_a 4.163
_cell_length_b 4.163
_cell_length_c 3.888
_cell_angle_alpha 90.00
_cell_angle_beta 90.00
_cell_angle_gamma 90.00
loop_
_atom_site_label
_atom_site_type_symbol
_atom_site_fract_x
_atom_site_fract_y
_atom_site_fract_z
Mn1 Mn 0.000 0.000 0.000
Tc1 Tc 0.000 0.500 0.500
Sn1 Sn 0.500 0.500 0.000
N1 N 0.000 0.000 0.500
```

Formation energy without anion corrections in eV per atom: -0.058

---

[8]
The following is a DFT calculation (PBE) of crystalline Pm6DyY3 at its relaxed geometry.

Structure (CIF):
```
data_Pm6DyY3
_symmetry_space_group_name_H-M 'P 1 21/c 1'
_symmetry_Int_Tables_number 14
_symmetry_space_group_name_Hall '-P 2ybc'
_cell_length_a 6.196
_cell_length_b 9.394
_cell_length_c 13.224
_cell_angle_alpha 90.00
_cell_angle_beta 117.74
_cell_angle_gamma 90.00
loop_
_atom_site_label
_atom_site_type_symbol
_atom_site_fract_x
_atom_site_fract_y
_atom_site_fract_z
Pm1 Pm 0.079 0.155 0.079
Pm2 Pm 0.382 0.035 0.749
Pm3 Pm 0.420 0.155 0.421
Dy1 Dy 0.000 0.000 0.500
Y1 Y 0.135 0.680 0.749
Y2 Y 0.500 0.000 0.000
```

ΔE_f in meV per atom: 199.1
Energy above the lowest structure with this stoichiometry in meV/atom: 63

---

[9]
The following is a DFT calculation (PBE) of crystalline Lu2Cr2C3 at its relaxed geometry.

Structure (CIF):
```
data_Lu2Cr2C3
_symmetry_space_group_name_H-M 'C 1 2/m 1'
_symmetry_Int_Tables_number 12
_symmetry_space_group_name_Hall '-C 2y'
_cell_length_a 10.453
_cell_length_b 3.277
_cell_length_c 5.461
_cell_angle_alpha 90.00
_cell_angle_beta 106.58
_cell_angle_gamma 90.00
loop_
_atom_site_label
_atom_site_type_symbol
_atom_site_fract_x
_atom_site_fract_y
_atom_site_fract_z
Lu1 Lu 0.109 0.000 0.317
Cr1 Cr 0.154 0.500 0.885
C1 C 0.000 0.500 0.000
C2 C 0.221 0.000 0.762
```

ΔE_f in meV per atom: -360.5

---

[10]
The following is a DFT calculation (PBE) of crystalline TcAsBr2F at its relaxed geometry.

Structure (CIF):
```
data_TcAsBr2F
_symmetry_space_group_name_H-M 'P 4/m m m'
_symmetry_Int_Tables_number 123
_symmetry_space_group_name_Hall '-P 4 2'
_cell_length_a 5.024
_cell_length_b 5.024
_cell_length_c 4.774
_cell_angle_alpha 90.00
_cell_angle_beta 90.00
_cell_angle_gamma 90.00
loop_
_atom_site_label
_atom_site_type_symbol
_atom_site_fract_x
_atom_site_fract_y
_atom_site_fract_z
Tc1 Tc 0.000 0.000 0.000
As1 As 0.000 0.000 0.500
Br1 Br 0.000 0.500 0.000
F1 F 0.500 0.500 0.500
```

Formation energy without anion corrections in eV per atom: 0.114
Energy above the lowest structure with this stoichiometry in meV/atom: 0

---

Number 1: density 5.48 Mg/m³, total DFT energy (no corrections) -2.49 eV/atom. Number 2: density 9.40 Mg/m³, total DFT energy (no corrections) -8.24 eV/atom. Number 3: density 6.21 Mg/m³, total DFT energy (no corrections) -6.37 eV/atom. Number 4: density 2.21 Mg/m³, total DFT energy (no corrections) -3.82 eV/atom. Number 5: density 5.26 Mg/m³, total DFT energy (no corrections) -5.39 eV/atom. Number 6: density 6.05 Mg/m³, total DFT energy (no corrections) -5.79 eV/atom. Number 7: density 9.45 Mg/m³, total DFT energy (no corrections) -8.50 eV/atom. Number 8: density 6.33 Mg/m³, total DFT energy (no corrections) -5.05 eV/atom. Number 9: density 9.08 Mg/m³, total DFT energy (no corrections) -8.35 eV/atom. Number 10: density 4.85 Mg/m³, total DFT energy (no corrections) -3.93 eV/atom.